A relaxed NaCa8Hg2 crystal, computed with PBE.

Unit cell a=9.6977 b=14.4515 c=6.0880 alpha=90.00 beta=105.60 gamma=90.00
Space group C2/m (No. 12)
Symmetry-distinct sites (fractional):
Na  0.0000  0.0000  0.0000 [2 per cell]
Ca  0.0000  0.2475  0.0000 [4 per cell]
Ca  0.1087  0.5000  0.7982 [4 per cell]
Ca  0.2008  0.1306  0.5904 [8 per cell]
Hg  0.0000  0.3139  0.5000 [4 per cell]

## Properties
The calculation puts the final energy at -1.806 eV/atom. The calculation puts the density of states at the Fermi level at 0.9604 states/eV/atom.

A relaxed TlFeNi crystal, computed with PBE.

Unit cell a=5.9290 b=5.9290 c=5.9290 alpha=90.00 beta=90.00 gamma=90.00
Space group F-43m (No. 216)
Symmetry-distinct sites (fractional):
Tl  0.0000  0.0000  0.0000 [4 per cell]
Fe  0.0000  0.0000  0.5000 [4 per cell]
Ni  0.2500  0.2500  0.2500 [4 per cell]

## Properties
As for the relative energy among the computed polymorphs: 59 meV per atom. The calculation puts the final energy at -5.084 eV/atom. The calculation puts the density of states at the Fermi level at 0.6216 states/eV/atom.

Question: Which of these has the highest final energy?
Answer: NaCa8Hg2